An optimized crystal structure of PmDy2Ge. Source: Alexandria via LeMat-Bulk, functional PBE.

Lattice parameters (Å, degrees): 4.7120 4.7120 4.6939 90.00 90.00 90.00
Last column: nearest neighbours and their distance in Å.
Sites, in units of the cell vectors:
Pm (0.0000, 0.0000, 0.0000)  8 Dy 3.33, 4 Ge 3.33
Dy (0.0000, 0.5000, 0.5000)  4 Ge 3.33, 4 Pm 3.33, 4 Dy 3.33
Dy (0.5000, 0.0000, 0.5000)  4 Ge 3.33, 4 Pm 3.33, 4 Dy 3.33
Ge (0.5000, 0.5000, 0.0000)  8 Dy 3.33, 4 Pm 3.33

Computed properties:
As for the symmetry: No. 123. The formation energy is -0.327 eV/atom. As for the final energy: -0.1827 Ha/atom. The mass density is 8.65 g/cm³. The calculation puts the energy above the most stable polymorph in this dataset at 0.47 eV per formula unit.